[1]
Entry from the Alexandria database: a relaxed TaTl4Os crystal (PBE-GGA).

## Properties
- Fermi-level density of states: 6.9 states/eV/f.u.
- Size of the total moment: 2.99 μB/cell
- ΔH_f (0 K): 9.7 eV/f.u.
- Total energy: -3.814 eV/atom

Lattice parameters (Å, degrees): 5.9040 5.9040 5.9040 60.00 60.00 60.00
Positions (direct):
Ta: 0.0000 0.0000 0.0000
Tl: 0.1255 0.6248 0.6248
Tl: 0.6248 0.1255 0.6248
Tl: 0.6248 0.6248 0.1255
Tl: 0.6248 0.6248 0.6248
Os: 0.2500 0.2500 0.2500



[2]
Entry from the Alexandria database: a relaxed K4CdSn4 crystal (PBE-GGA).

## Properties
- Fermi-level density of states: 6.0 states/eV/f.u.
- Size of the total moment: 0.00 μB/cell
- ΔH_f (0 K): 0.4 eV/f.u.
- Total energy: -2.319 eV/atom

Lattice parameters (Å, degrees): 9.6502 9.6502 9.6502 137.77 137.77 61.26
Positions (direct):
K: 0.1906 0.1906 0.6494
K: 0.4588 0.8094 0.0000
K: 0.5412 0.5412 0.3506
K: 0.8094 0.4588 0.0000
Cd: 0.0000 0.0000 0.0000
Sn: 0.0052 0.0052 0.7065
Sn: 0.2987 0.2987 0.2935
Sn: 0.7013 0.9948 0.0000
Sn: 0.9948 0.7013 0.0000



[3]
Entry from the Alexandria database: a relaxed Ce3Ga2AgAu6 crystal (PBE-GGA).

## Properties
- Fermi-level density of states: 24.9 states/eV/f.u.
- Size of the total moment: 3.00 μB/cell
- ΔH_f (0 K): -4.2 eV/f.u.
- Total energy: -4.214 eV/atom

Lattice parameters (Å, degrees): 6.1591 6.1591 8.5558 90.00 90.00 120.00
Positions (direct):
Ce: 0.0000 0.0000 0.0000
Ce: 0.3333 0.6667 0.6324
Ce: 0.6667 0.3333 0.3676
Ga: 0.3333 0.6667 0.0071
Ga: 0.6667 0.3333 0.9929
Ag: 0.0000 0.0000 0.5000
Au: 0.1798 0.3596 0.2682
Au: 0.1798 0.8202 0.2682
Au: 0.3596 0.1798 0.7318
Au: 0.6404 0.8202 0.2682
Au: 0.8202 0.1798 0.7318
Au: 0.8202 0.6404 0.7318



[4]
Entry from the Alexandria database: a relaxed Ag5Pd2Cl12 crystal (PBE-GGA).

## Properties
- Fermi-level density of states: 4.9 states/eV/f.u.
- Size of the total moment: 2.04 μB/cell
- Formation energy without anion corrections: -0.386 eV/atom
- Total energy: -2.849 eV/atom

Lattice parameters (Å, degrees): 8.0014 8.0014 9.3406 102.83 102.83 55.29
Positions (direct):
Ag: 0.0000 0.0000 0.0000
Ag: 0.2597 0.2597 0.0107
Ag: 0.2714 0.2714 0.5542
Ag: 0.7286 0.7286 0.4458
Ag: 0.7403 0.7403 0.9893
Pd: 0.2489 0.7511 0.5000
Pd: 0.7511 0.2489 0.5000
Cl: 0.0341 0.0341 0.3399
Cl: 0.0880 0.5830 0.3696
Cl: 0.1068 0.6246 0.9592
Cl: 0.3754 0.8932 0.0408
Cl: 0.4170 0.9120 0.6304
Cl: 0.4658 0.4658 0.6612
Cl: 0.5342 0.5342 0.3388
Cl: 0.5830 0.0880 0.3696
Cl: 0.6246 0.1068 0.9592
Cl: 0.8932 0.3754 0.0408
Cl: 0.9120 0.4170 0.6304
Cl: 0.9659 0.9659 0.6601



[5]
Entry from the Alexandria database: a relaxed MgTl2CrCl6 crystal (PBE-GGA).

## Properties
- Size of the total moment: 8.00 μB/cell
- Formation energy without anion corrections: -1.224 eV/atom
- Total energy: -3.927 eV/atom

Lattice parameters (Å, degrees): 6.8487 6.8517 12.9151 90.00 121.78 90.00
Positions (direct):
Mg: 0.0000 0.0000 0.0000
Mg: 0.0000 0.5000 0.5000
Tl: 0.2497 0.0115 0.7500
Tl: 0.2497 0.4885 0.2500
Tl: 0.7503 0.5115 0.7500
Tl: 0.7503 0.9885 0.2500
Cr: 0.5000 0.0000 0.5000
Cr: 0.5000 0.5000 0.0000
Cl: 0.2102 0.6851 0.0047
Cl: 0.2102 0.8149 0.5047
Cl: 0.2133 0.5009 0.7246
Cl: 0.2133 0.9991 0.2246
Cl: 0.3207 0.2057 0.0058
Cl: 0.3207 0.2943 0.5058
Cl: 0.6793 0.7057 0.4942
Cl: 0.6793 0.7943 0.9942
Cl: 0.7867 0.0009 0.7754
Cl: 0.7867 0.4991 0.2754
Cl: 0.7898 0.1851 0.4953
Cl: 0.7898 0.3149 0.9953



[6]
Entry from the Alexandria database: a relaxed Ce6TaO12 crystal (PBE-GGA).

## Properties
- Fermi-level density of states: 30.5 states/eV/f.u.
- Size of the total moment: 5.06 μB/cell
- Formation energy without anion corrections: -3.357 eV/atom
- Total energy: -8.986 eV/atom

Lattice parameters (Å, degrees): 6.6978 6.6978 6.6978 98.62 98.62 98.62
Positions (direct):
Ce: 0.1044 0.7988 0.6391
Ce: 0.2012 0.3609 0.8956
Ce: 0.3609 0.8956 0.2012
Ce: 0.6391 0.1044 0.7988
Ce: 0.7988 0.6391 0.1044
Ce: 0.8956 0.2012 0.3609
Ta: 0.5000 0.5000 0.5000
O: 0.0627 0.9089 0.3232
O: 0.0911 0.6768 0.9373
O: 0.2038 0.4305 0.5403
O: 0.3232 0.0627 0.9089
O: 0.4305 0.5403 0.2038
O: 0.4597 0.7962 0.5695
O: 0.5403 0.2038 0.4305
O: 0.5695 0.4597 0.7962
O: 0.6768 0.9373 0.0911
O: 0.7962 0.5695 0.4597
O: 0.9089 0.3232 0.0627
O: 0.9373 0.0911 0.6768



[7]
Entry from the Alexandria database: a relaxed Y2Hf3ScN6 crystal (PBE-GGA).

## Properties
- Fermi-level density of states: 2.8 states/eV/f.u.
- Size of the total moment: 0.00 μB/cell
- Formation energy without anion corrections: -1.805 eV/atom
- Total energy: -10.061 eV/atom

Lattice parameters (Å, degrees): 7.3812 7.3812 6.6020 103.56 103.56 25.64
Positions (direct):
Y: 0.1652 0.1652 0.3305
Y: 0.8348 0.8348 0.6695
Hf: 0.1644 0.1644 0.8343
Hf: 0.5000 0.5000 0.5000
Hf: 0.8356 0.8356 0.1657
Sc: 0.5000 0.5000 0.0000
N: 0.0055 0.0055 0.7477
N: 0.3322 0.3322 0.9331
N: 0.3396 0.3396 0.4023
N: 0.6604 0.6604 0.5977
N: 0.6678 0.6678 0.0669
N: 0.9945 0.9945 0.2523



[8]
Entry from the Alexandria database: a relaxed TlTe3P3 crystal (PBE-GGA).

## Properties
- Fermi-level density of states: 2.8 states/eV/f.u.
- Size of the total moment: 0.00 μB/cell
- Formation energy without anion corrections: 0.229 eV/atom
- Total energy: -3.774 eV/atom

Lattice parameters (Å, degrees): 11.3294 3.2402 11.3332 90.00 119.96 90.00
Positions (direct):
Tl: 0.1658 0.2500 0.3331
Tl: 0.8342 0.7500 0.6669
Te: 0.1196 0.2500 0.9738
Te: 0.1457 0.7500 0.6198
Te: 0.4734 0.7500 0.3540
Te: 0.5266 0.2500 0.6460
Te: 0.8543 0.2500 0.3802
Te: 0.8804 0.7500 0.0262
P: 0.3311 0.7500 0.9853
P: 0.3459 0.2500 0.8312
P: 0.4852 0.2500 0.1543
P: 0.5148 0.7500 0.8457
P: 0.6541 0.7500 0.1688
P: 0.6689 0.2500 0.0147



[9]
Entry from the Alexandria database: a relaxed SrTlCl3 crystal (PBE-GGA).

## Properties
- Fermi-level density of states: 0.8 states/eV/f.u.
- Size of the total moment: 0.00 μB/cell
- Formation energy without anion corrections: -1.175 eV/atom
- Total energy: -3.092 eV/atom

Lattice parameters (Å, degrees): 5.7070 5.7070 5.7070 90.00 90.00 90.00
Positions (direct):
Sr: 0.0000 0.0000 0.0000
Tl: 0.5000 0.5000 0.5000
Cl: 0.0000 0.5000 0.5000
Cl: 0.5000 0.0000 0.5000
Cl: 0.5000 0.5000 0.0000



[10]
Entry from the Alexandria database: a relaxed OsSCl2 crystal (PBE-GGA).

## Properties
- Fermi-level density of states: 0.6 states/eV/f.u.
- Size of the total moment: 0.00 μB/cell
- Formation energy without anion corrections: 0.855 eV/atom
- Total energy: -3.908 eV/atom

Lattice parameters (Å, degrees): 7.2719 7.2719 7.2719 29.25 29.25 29.25
Positions (direct):
Os: 0.0000 0.0000 0.0000
S: 0.5000 0.5000 0.5000
Cl: 0.3896 0.3896 0.3896
Cl: 0.6104 0.6104 0.6104



[11]
Entry from the Alexandria database: a relaxed DySc2Hg crystal (PBE-GGA).

## Properties
- Fermi-level density of states: 5.0 states/eV/f.u.
- Size of the total moment: 0.00 μB/cell
- ΔH_f (0 K): -0.4 eV/f.u.
- Total energy: -4.500 eV/atom

Lattice parameters (Å, degrees): 10.3145 10.3145 10.3145 19.06 19.06 19.06
Positions (direct):
Dy: 0.0000 0.0000 0.0000
Sc: 0.2428 0.2428 0.2428
Sc: 0.7572 0.7572 0.7572
Hg: 0.5000 0.5000 0.5000



[12]
Entry from the Alexandria database: a relaxed SrAs2PbAu4 crystal (PBE-GGA).

## Properties
- Fermi-level density of states: 1.8 states/eV/f.u.
- Size of the total moment: 0.00 μB/cell
- ΔH_f (0 K): -2.2 eV/f.u.
- Total energy: -3.747 eV/atom

Lattice parameters (Å, degrees): 4.9324 4.9324 7.9510 90.00 90.00 90.00
Positions (direct):
Sr: 0.0000 0.0000 0.0000
As: 0.5000 0.5000 0.1707
As: 0.5000 0.5000 0.8293
Pb: 0.0000 0.0000 0.5000
Au: 0.0000 0.5000 0.2836
Au: 0.0000 0.5000 0.7164
Au: 0.5000 0.0000 0.2836
Au: 0.5000 0.0000 0.7164